Below is crystalline La2MgHg at its relaxed geometry, with properties calculated at the PBE level.

Cell: 5.5173 3.9203 11.1940 Å, 90.00 90.00 90.00°
Last column: nearest neighbours and their distance in Å.
Sites, in units of the cell vectors:
La 0.2500 0.0000 0.1158  6 Hg 3.40-3.51, 2 Mg 3.46, 2 La 3.79
La 0.2500 0.0000 0.6201  2 Hg 3.29, 6 Mg 3.39-3.41
La 0.7500 0.0000 0.3799  2 Hg 3.29, 6 Mg 3.39-3.41
La 0.7500 0.0000 0.8842  6 Hg 3.40-3.51, 2 Mg 3.46, 2 La 3.79
Mg 0.2500 0.5000 0.3708  8 La 3.39-3.46, 2 Hg 3.75
Mg 0.7500 0.5000 0.6292  8 La 3.39-3.46, 2 Hg 3.75
Hg 0.2500 0.5000 0.8556  8 La 3.29-3.51
Hg 0.7500 0.5000 0.1444  8 La 3.29-3.51

Calculated values
theoretical density = 6895 kg/m3
calculated formation energy = -0.3108 eV per atom
E above lowest polymorph = 0.0 meV per atom
SG = Pmma
DOS at the Fermi energy = 1.136 states/eV/atom
electronic total energy = -3.249 eV per atom



Below is crystalline Ce2TmIn at its relaxed geometry, with properties calculated at the PBE level.

Cell: 4.5336 4.2857 11.4635 Å, 90.00 99.38 90.00°
Last column: nearest neighbours and their distance in Å.
Sites, in units of the cell vectors:
Ce 0.0039 0.2500 0.1137  2 Ce 2.79
Ce 0.3892 0.2500 0.8808  2 Ce 2.79
Ce 0.6108 0.7500 0.1192  2 Ce 2.79
Ce 0.9961 0.7500 0.8863  2 Ce 2.79
Tm 0.3022 0.7500 0.6061  5 In 3.11-3.22
Tm 0.6978 0.2500 0.3939  5 In 3.11-3.22
In 0.1786 0.7500 0.3314  5 Tm 3.11-3.22, 4 Ce 3.24-3.36
In 0.8214 0.2500 0.6686  5 Tm 3.11-3.22, 4 Ce 3.24-3.36

Calculated values
theoretical density = 8523 kg/m3
calculated formation energy = -0.1850 eV per atom
E above lowest polymorph = 58.6 meV per atom
SG = P2_1/m
DOS at the Fermi energy = 1.813 states/eV/atom
electronic total energy = -4.954 eV per atom



Below is crystalline BePd8Pb2 at its relaxed geometry, with properties calculated at the PBE level.

Cell: 7.6701 7.6701 5.9183 Å, 112.65 112.65 34.91°
Last column: nearest neighbours and their distance in Å.
Sites, in units of the cell vectors:
Be 0.0000 0.0000 0.0000  4 Pd 2.25
Pd 0.1261 0.1261 0.3778  1 Be 2.25
Pd 0.1268 0.1268 0.8766  1 Be 2.25
Pd 0.3185 0.3185 0.8177  8 Pd 2.81-2.96, 4 Pb 2.94-2.96
Pd 0.4998 0.4998 0.2384  2 Be 2.70, 7 Pd 2.81-2.86, 2 Pb 2.88-2.89
Pd 0.5002 0.5002 0.7616  2 Be 2.70, 7 Pd 2.81-2.86, 2 Pb 2.88-2.89
Pd 0.6815 0.6815 0.1823  8 Pd 2.81-2.96, 4 Pb 2.94-2.96
Pd 0.8732 0.8732 0.1234  1 Be 2.25
Pd 0.8739 0.8739 0.6222  1 Be 2.25
Pb 0.3179 0.3179 0.3178  12 Pd 2.83-2.97
Pb 0.6821 0.6821 0.6822  12 Pd 2.83-2.97

Calculated values
theoretical density = 11613 kg/m3
calculated formation energy = -0.2325 eV per atom
SG = C2/m
DOS at the Fermi energy = 0.420 states/eV/atom
electronic total energy = -5.022 eV per atom



Look up the DOS at the Fermi energy of the first one. 1.136 states/eV/atom